Record 1
BaFePt, optimized geometry, DFT GGA-PBE; energy = -5.091 eV/atom; energy relative to the elements = 0.384 eV per atom
1.0
6.694 0.000 0.000
0.000 6.694 0.000
0.000 0.000 6.694
Ba Fe Pt
4 4 4
Cartesian
0.000 0.000 0.000 Ba
0.000 3.347 3.347 Ba
3.347 0.000 3.347 Ba
3.347 3.347 0.000 Ba
1.673 1.673 5.020 Fe
1.673 5.020 1.673 Fe
5.020 1.673 1.673 Fe
5.020 5.020 5.020 Fe
0.000 0.000 3.347 Pt
0.000 3.347 0.000 Pt
3.347 0.000 0.000 Pt
3.347 3.347 3.347 Pt

Record 2
Ba2FePt, optimized geometry, DFT GGA-PBE; energy = -4.641 eV/atom; energy relative to the elements = -0.054 eV per atom
1.0
4.387 0.000 0.000
0.000 4.539 0.000
0.000 0.000 15.174
Ba Fe Pt
4 2 2
Cartesian
0.000 0.000 0.000 Ba
0.000 2.270 3.930 Ba
2.193 0.000 11.516 Ba
2.193 2.270 7.587 Ba
0.000 0.000 6.294 Fe
2.193 2.270 13.880 Fe
0.000 2.270 12.835 Pt
2.193 0.000 5.248 Pt

Record 3
BaFePt, optimized geometry, DFT GGA-PBE; energy = -4.440 eV/atom; energy relative to the elements = 1.035 eV per atom
1.0
7.161 0.000 0.000
0.000 7.161 0.000
0.000 0.000 7.161
Ba Fe Pt
4 4 4
Cartesian
0.000 0.000 0.000 Ba
0.000 3.581 3.581 Ba
3.581 0.000 3.581 Ba
3.581 3.581 0.000 Ba
1.790 1.790 5.371 Fe
1.790 5.371 1.790 Fe
5.371 1.790 1.790 Fe
5.371 5.371 5.371 Fe
1.790 1.790 1.790 Pt
1.790 5.371 5.371 Pt
5.371 1.790 5.371 Pt
5.371 5.371 1.790 Pt

Record 4
BaFe4Pt, optimized geometry, DFT GGA-PBE; energy = -6.559 eV/atom; energy relative to the elements = 0.410 eV per atom
1.0
0.000 3.681 3.681
3.681 0.000 3.681
3.681 3.681 0.000
Ba Fe Pt
1 4 1
Cartesian
0.000 0.000 0.000 Ba
4.581 2.780 2.780 Fe
2.780 4.581 2.780 Fe
2.780 2.780 4.581 Fe
4.581 4.581 4.581 Fe
1.840 1.840 1.840 Pt